Record 1
Crystalline YSbAu2 at its relaxed geometry. Source: the Alexandria database, functional GGA-PBE.

* energy: -19.3 eV for the cell shown
* crystal system: orthorhombic
* size of the total moment: 0.000 μB per formula unit

Geometry as POSCAR:
```
YSbAu2
1.0
-0.759 -1.957 4.169
3.116 0.860 0.972
-2.069 5.165 2.047
Au Sb Y
2 1 1
direct
0.000 0.250 0.979
0.500 0.249 0.239
0.000 0.251 0.503
0.500 0.750 0.779
```



Record 2
Crystalline Y2SbAu at its relaxed geometry. Source: the Alexandria database, functional GGA-PBE.

* energy: -48.1 eV for the cell shown
* crystal system: orthorhombic
* size of the total moment: 0.000 μB per formula unit

Geometry as POSCAR:
```
Y2SbAu
1.0
4.503 0.000 0.000
0.000 4.059 -0.721
0.000 0.027 11.942
Y Sb Au
4 2 2
direct
0.750 0.678 0.356
0.250 0.322 0.644
0.750 0.939 0.877
0.250 0.061 0.123
0.250 0.190 0.380
0.750 0.810 0.620
0.250 0.458 0.916
0.750 0.542 0.084
```



Record 3
Crystalline Y5SbAu2 at its relaxed geometry. Source: the Alexandria database, functional GGA-PBE.

* energy: -98.5 eV for the cell shown
* crystal system: tetragonal
* size of the total moment: 0.000 μB per formula unit

Geometry as POSCAR:
```
Y5SbAu2
1.0
7.313 0.000 -3.452
-1.630 7.129 -3.452
-0.373 -0.468 8.682
Y Sb Au
10 2 4
direct
0.513 0.701 0.713
0.799 0.987 0.287
0.000 0.000 0.000
0.500 0.500 0.000
0.201 0.013 0.713
0.701 0.201 0.713
0.013 0.513 0.713
0.299 0.799 0.287
0.987 0.487 0.287
0.487 0.299 0.287
0.750 0.750 0.500
0.250 0.250 0.500
0.137 0.363 0.000
0.637 0.137 0.000
0.363 0.863 0.000
0.863 0.637 0.000
```



Record 4
Crystalline YSbAu at its relaxed geometry. Source: the Alexandria database, functional GGA-PBE.

* energy: -16.2 eV for the cell shown
* crystal system: trigonal
* size of the total moment: 0.000 μB per formula unit

Geometry as POSCAR:
```
YSbAu
1.0
-1.424 -3.554 2.422
3.387 2.582 1.543
-2.797 2.478 1.992
Y Sb Au
1 1 1
direct
0.667 0.333 0.697
0.333 0.667 0.251
0.000 0.000 0.052
```



Record 5
Crystalline Y2SbAu at its relaxed geometry. Source: the Alexandria database, functional GGA-PBE.

* energy: -45.8 eV for the cell shown
* crystal system: tetragonal
* size of the total moment: 0.000 μB per formula unit

Geometry as POSCAR:
```
Y2SbAu
1.0
7.906 0.000 0.000
0.000 7.906 0.000
3.953 3.953 3.687
Y Sb Au
4 2 2
direct
0.643 0.125 0.250
0.107 0.625 0.250
0.375 0.357 0.750
0.875 0.893 0.750
0.500 0.500 0.000
0.250 0.750 0.500
0.000 0.000 0.000
0.750 0.250 0.500
```



Record 6
Crystalline YSbAu2 at its relaxed geometry. Source: the Alexandria database, functional GGA-PBE.

* energy: -37.9 eV for the cell shown
* crystal system: tetragonal
* size of the total moment: 0.000 μB per formula unit

Geometry as POSCAR:
```
YSbAu2
1.0
4.346 0.000 0.000
0.000 4.346 0.000
2.173 2.173 10.282
Y Sb Au
2 2 4
direct
0.500 0.500 0.000
0.250 0.750 0.500
0.000 0.000 0.000
0.750 0.250 0.500
0.634 0.125 0.250
0.116 0.625 0.250
0.375 0.366 0.750
0.875 0.884 0.750
```



Record 7
Crystalline YSb2Au2 at its relaxed geometry. Source: the Alexandria database, functional GGA-PBE.

* polymorph energy (0 for the lowest one): 0.085 eV per atom
* crystal system: tetragonal
* size of the total moment: 0.000 μB per formula unit

Geometry as POSCAR:
```
YSb2Au2
1.0
4.070 0.000 0.000
0.000 4.070 0.000
2.035 2.035 7.349
Y Sb Au
1 2 2
direct
0.000 0.000 0.000
0.394 0.394 0.213
0.606 0.606 0.787
0.750 0.250 0.500
0.250 0.750 0.500
```



Record 8
Crystalline Y2SbAu at its relaxed geometry. Source: the Alexandria database, functional GGA-PBE.

* energy: -23.7 eV for the cell shown
* crystal system: orthorhombic
* size of the total moment: 0.389 μB per formula unit

Geometry as POSCAR:
```
Y2SbAu
1.0
-2.317 3.943 2.295
-2.436 -2.458 1.764
3.233 -0.385 3.927
Au Sb Y
1 1 2
direct
0.000 0.625 0.375
0.500 0.625 0.875
0.000 0.125 0.875
0.500 0.125 0.375
```